Pm6SiPb | PBE | relaxed

Calculated values
* VASP energy: -37.437 eV per cell
* M_tot: 0.000 μB per formula unit
* raw formation energy: 0.025 eV per atom
* volume: 267 Å³ per cell
* space group: P4/mmm (123)

Lattice parameters (Å, degrees): 4.6573 4.6573 12.2904 90.00 90.00 90.00
Sites, in units of the cell vectors:
Pm  0.0000  0.0000  0.1169
Pm  0.0000  0.0000  0.8831
Pm  0.0000  0.5000  0.3501
Pm  0.0000  0.5000  0.6499
Pm  0.5000  0.0000  0.3501
Pm  0.5000  0.0000  0.6499
Si  0.5000  0.5000  0.5000
Pb  0.5000  0.5000  0.0000